Record 1
This record from Alexandria describes a relaxed KTl2In crystal. The functional is GGA-PBEsol.

Cell: 3.419 4.792 7.503 Å, 90.00 101.36 90.00°
Fractional positions:
Tl 0.093 0.000 0.789
Tl 0.907 0.000 0.211
K 0.500 0.500 0.500
In 0.500 0.500 0.000

DOS(E_F) = 0.38 states/eV per atom
energy of formation = -0.0866 eV/atom
crystal system = monoclinic
magnetic moment = 0.0 μB/cell
V = 30.1 A^3/atom


Record 2
This record from Alexandria describes a relaxed LiYAs2 crystal. The functional is GGA-PBEsol.

Cell: 4.541 4.969 4.541 Å, 62.81 90.00 117.19°
Fractional positions:
Y 0.000 0.000 0.000
As 0.250 0.500 0.250
As 0.750 0.500 0.750
Li 0.500 0.000 0.500

DOS(E_F) = 0.30 states/eV per atom
energy of formation = -0.7957 eV/atom
crystal system = tetragonal
magnetic moment = 0.0 μB/cell
V = 19.6 A^3/atom